## ScCd3Br (GGA-PBE)

Data for a geometry-optimized ScCd3Br structure.

Size of the total moment (μB per atom): 0.000
Space-group type: Pm-3m
Fermi-level density of states (states/eV/atom): 0.796

Unit cell a=5.8086 b=5.8086 c=5.8086 alpha=90.00 beta=90.00 gamma=90.00
Sites, in units of the cell vectors:
Cd 0.0000 0.0000 0.5000
Cd 0.0000 0.5000 0.0000
Cd 0.5000 0.0000 0.0000
Sc 0.0000 0.0000 0.0000
Br 0.5000 0.5000 0.5000

***

## ScCdBr3 (GGA-PBE)

Data for a geometry-optimized ScCdBr3 structure.

Size of the total moment (μB per atom): 0.000
Space-group type: Pm-3m
Fermi-level density of states (states/eV/atom): 0.244

Unit cell a=5.3645 b=5.3645 c=5.3645 alpha=90.00 beta=90.00 gamma=90.00
Sites, in units of the cell vectors:
Br 0.0000 0.5000 0.0000
Br 0.0000 0.0000 0.5000
Br 0.5000 0.0000 0.0000
Cd 0.5000 0.5000 0.5000
Sc 0.0000 0.0000 0.0000

***

For reference, E_tot by record: -8.99; -17.58 eV per cell.